# 1
Here is a geometry-optimized SnHI3 structure from Alexandria via LeMat-Bulk. Energies are from PBE-GGA.

Values from the calculation:
Density: 5.830 Mg/m³
Raw total energy: -1.995 eV per atom
SG: No. 221
Relative energy among the computed polymorphs: 66.10 kJ/mol of atoms
Total moment: 0.000 μB/f.u.

a = 5.224 Å, b = 5.224 Å, c = 5.224 Å
α = 90.00°, β = 90.00°, γ = 90.00°
Fractional coordinates of all 5 atoms:
Sn (0.000, 0.000, 0.000)
H (0.500, 0.500, 0.500)
I (0.000, 0.500, 0.500)
I (0.500, 0.000, 0.500)
I (0.500, 0.500, 0.000)



# 2
Here is a geometry-optimized SnH2I structure from Alexandria via LeMat-Bulk. Energies are from PBE-GGA.

Values from the calculation:
Density: 5.969 Mg/m³
Raw total energy: -2.297 eV per atom
SG: No. 225
Relative energy among the computed polymorphs: 57.10 kJ/mol of atoms
Total moment: 0.000 μB/f.u.

a = 6.507 Å, b = 6.507 Å, c = 6.507 Å
α = 90.00°, β = 90.00°, γ = 90.00°
Fractional coordinates of all 16 atoms:
Sn (0.000, 0.000, 0.000)
Sn (0.000, 0.500, 0.500)
Sn (0.500, 0.000, 0.500)
Sn (0.500, 0.500, 0.000)
H (0.250, 0.250, 0.250)
H (0.250, 0.250, 0.750)
H (0.250, 0.750, 0.250)
H (0.250, 0.750, 0.750)
H (0.750, 0.250, 0.250)
H (0.750, 0.250, 0.750)
H (0.750, 0.750, 0.250)
H (0.750, 0.750, 0.750)
I (0.000, 0.000, 0.500)
I (0.000, 0.500, 0.000)
I (0.500, 0.000, 0.000)
I (0.500, 0.500, 0.500)



# 3
Here is a geometry-optimized SnH2I2 structure from Alexandria via LeMat-Bulk. Energies are from PBE-GGA.

Values from the calculation:
Density: 4.075 Mg/m³
Raw total energy: -2.836 eV per atom
SG: No. 2
Relative energy among the computed polymorphs: 18.94 kJ/mol of atoms
Total moment: 0.000 μB/f.u.

a = 4.802 Å, b = 8.074 Å, c = 9.114 Å
α = 104.98°, β = 104.45°, γ = 107.11°
Fractional coordinates of all 10 atoms:
Sn (0.214, 0.412, 0.237)
Sn (0.786, 0.588, 0.763)
H (0.070, 0.654, 0.947)
H (0.161, 0.477, 0.419)
H (0.839, 0.523, 0.581)
H (0.930, 0.346, 0.053)
I (0.292, 0.292, 0.741)
I (0.412, 0.125, 0.232)
I (0.588, 0.875, 0.768)
I (0.708, 0.708, 0.259)



# 4
Here is a geometry-optimized SnH3I structure from Alexandria via LeMat-Bulk. Energies are from PBE-GGA.

Values from the calculation:
Density: 5.783 Mg/m³
Raw total energy: -2.665 eV per atom
SG: No. 221
Relative energy among the computed polymorphs: 0.00 kJ/mol of atoms
Total moment: 0.000 μB/f.u.

a = 4.149 Å, b = 4.149 Å, c = 4.149 Å
α = 90.00°, β = 90.00°, γ = 90.00°
Fractional coordinates of all 5 atoms:
Sn (0.000, 0.000, 0.000)
H (0.000, 0.000, 0.500)
H (0.000, 0.500, 0.000)
H (0.500, 0.000, 0.000)
I (0.500, 0.500, 0.500)



# 5
Here is a geometry-optimized SnH4I4 structure from Alexandria via LeMat-Bulk. Energies are from PBE-GGA.

Values from the calculation:
Density: 3.967 Mg/m³
Raw total energy: -2.425 eV per atom
SG: No. 2
Total moment: 0.000 μB/f.u.

a = 3.868 Å, b = 8.468 Å, c = 8.489 Å
α = 87.82°, β = 77.11°, γ = 76.80°
Fractional coordinates of all 9 atoms:
Sn (0.000, 0.000, 0.000)
H (0.234, 0.197, 0.340)
H (0.426, 0.338, 0.809)
H (0.574, 0.662, 0.191)
H (0.766, 0.803, 0.660)
I (0.074, 0.661, 0.193)
I (0.267, 0.803, 0.659)
I (0.733, 0.197, 0.341)
I (0.926, 0.339, 0.807)



# 6
Here is a geometry-optimized SnHI3 structure from Alexandria via LeMat-Bulk. Energies are from PBE-GGA.

Values from the calculation:
Density: 3.833 Mg/m³
Raw total energy: -2.137 eV per atom
SG: No. 221
Relative energy among the computed polymorphs: 52.37 kJ/mol of atoms
Total moment: 0.969 μB/f.u.

a = 6.007 Å, b = 6.007 Å, c = 6.007 Å
α = 90.00°, β = 90.00°, γ = 90.00°
Fractional coordinates of all 5 atoms:
Sn (0.000, 0.000, 0.000)
H (0.500, 0.500, 0.500)
I (0.000, 0.000, 0.500)
I (0.000, 0.500, 0.000)
I (0.500, 0.000, 0.000)



# 7
Here is a geometry-optimized SnHI3 structure from Alexandria via LeMat-Bulk. Energies are from PBE-GGA.

Values from the calculation:
Density: 4.037 Mg/m³
Raw total energy: -2.680 eV per atom
SG: No. 1
Relative energy among the computed polymorphs: 0.00 kJ/mol of atoms
Total moment: 0.000 μB/f.u.

a = 6.376 Å, b = 7.765 Å, c = 9.285 Å
α = 103.68°, β = 92.26°, γ = 111.44°
Fractional coordinates of all 10 atoms:
Sn (0.000, 0.000, 0.000)
Sn (0.330, 0.633, 0.138)
H (0.374, 0.118, 0.402)
H (0.954, 0.514, 0.737)
I (0.160, 0.339, 0.836)
I (0.169, 0.294, 0.303)
I (0.480, 0.970, 0.977)
I (0.492, 0.994, 0.478)
I (0.836, 0.638, 0.661)
I (0.850, 0.663, 0.161)



# 8
Here is a geometry-optimized Sn3HI structure from Alexandria via LeMat-Bulk. Energies are from PBE-GGA.

Values from the calculation:
Density: 3.771 Mg/m³
Raw total energy: -2.126 eV per atom
SG: No. 221
Relative energy among the computed polymorphs: 82.62 kJ/mol of atoms
Total moment: 0.722 μB/f.u.

a = 5.974 Å, b = 5.974 Å, c = 5.974 Å
α = 90.00°, β = 90.00°, γ = 90.00°
Fractional coordinates of all 5 atoms:
Sn (0.000, 0.000, 0.500)
Sn (0.000, 0.500, 0.000)
Sn (0.500, 0.000, 0.000)
H (0.500, 0.500, 0.500)
I (0.000, 0.000, 0.000)